[1]
{
  "formula": "ErFeSi2",
  "functional": "PBE-GGA",
  "state": "optimized geometry",
  "total_energy_ev_per_cell": -106.5,
  "raw_formation_energy_ev_per_atom": -0.69,
  "magnetic_moment_mub_per_fu": 0.00,
  "lattice_angstrom": [[6.715, 0.000, 0.000], [0.000, 3.920, 0.000], [0.000, 0.000, 9.694]],
  "species": ["Er", "Er", "Er", "Er", "Fe", "Fe", "Fe", "Fe", "Si", "Si", "Si", "Si", "Si", "Si", "Si", "Si"],
  "fractional_positions": [[0.159, 0.250, 0.124], [0.341, 0.750, 0.624], [0.659, 0.250, 0.376], [0.841, 0.750, 0.876], [0.015, 0.750, 0.390], [0.485, 0.250, 0.890], [0.515, 0.750, 0.110], [0.985, 0.250, 0.610], [0.152, 0.250, 0.813], [0.186, 0.250, 0.425], [0.314, 0.750, 0.925], [0.348, 0.750, 0.313], [0.652, 0.250, 0.687], [0.686, 0.250, 0.075], [0.814, 0.750, 0.575], [0.848, 0.750, 0.187]]
}

***

[2]
{
  "formula": "Er2Fe9Si6",
  "functional": "PBE-GGA",
  "state": "optimized geometry",
  "total_energy_ev_per_cell": -123.2,
  "raw_formation_energy_ev_per_atom": -0.32,
  "magnetic_moment_mub_per_fu": 13.49,
  "lattice_angstrom": [[5.043, 0.000, 0.000], [-2.521, 4.367, 0.000], [0.000, 0.000, 11.242]],
  "species": ["Er", "Er", "Fe", "Fe", "Fe", "Fe", "Fe", "Fe", "Fe", "Fe", "Fe", "Si", "Si", "Si", "Si", "Si", "Si"],
  "fractional_positions": [[0.000, 0.000, 0.173], [0.000, 0.000, 0.827], [0.000, 0.500, 0.000], [0.000, 0.500, 0.333], [0.000, 0.500, 0.667], [0.500, 0.000, 0.000], [0.500, 0.000, 0.333], [0.500, 0.000, 0.667], [0.500, 0.500, 0.000], [0.500, 0.500, 0.333], [0.500, 0.500, 0.667], [0.333, 0.667, 0.166], [0.333, 0.667, 0.500], [0.333, 0.667, 0.834], [0.667, 0.333, 0.166], [0.667, 0.333, 0.500], [0.667, 0.333, 0.834]]
}

***

[3]
{
  "formula": "Er2Fe3Si",
  "functional": "PBE-GGA",
  "state": "optimized geometry",
  "total_energy_ev_per_cell": -42.0,
  "raw_formation_energy_ev_per_atom": -0.35,
  "magnetic_moment_mub_per_fu": 4.12,
  "lattice_angstrom": [[2.567, 1.482, 4.096], [-2.567, 1.482, 4.096], [0.000, -2.964, 4.096]],
  "species": ["Er", "Er", "Fe", "Fe", "Fe", "Si"],
  "fractional_positions": [[0.124, 0.124, 0.124], [0.876, 0.876, 0.876], [0.000, 0.500, 0.500], [0.500, 0.000, 0.500], [0.500, 0.500, 0.000], [0.500, 0.500, 0.500]]
}

***

[4]
{
  "formula": "Er3Fe2Si3",
  "functional": "PBE-GGA",
  "state": "optimized geometry",
  "total_energy_ev_per_cell": -104.8,
  "raw_formation_energy_ev_per_atom": -0.69,
  "magnetic_moment_mub_per_fu": 0.00,
  "lattice_angstrom": [[2.031, -5.201, 0.000], [2.031, 5.201, 0.000], [0.000, 0.000, 13.481]],
  "species": ["Er", "Er", "Er", "Er", "Er", "Er", "Fe", "Fe", "Fe", "Fe", "Si", "Si", "Si", "Si", "Si", "Si"],
  "fractional_positions": [[0.081, 0.919, 0.612], [0.081, 0.919, 0.888], [0.365, 0.635, 0.750], [0.635, 0.365, 0.250], [0.919, 0.081, 0.112], [0.919, 0.081, 0.388], [0.214, 0.786, 0.081], [0.214, 0.786, 0.419], [0.786, 0.214, 0.581], [0.786, 0.214, 0.919], [0.324, 0.676, 0.250], [0.376, 0.624, 0.540], [0.376, 0.624, 0.960], [0.624, 0.376, 0.040], [0.624, 0.376, 0.460], [0.676, 0.324, 0.750]]
}

***

[5]
{
  "formula": "Er2Fe5Si3",
  "functional": "PBE-GGA",
  "state": "optimized geometry",
  "total_energy_ev_per_cell": -142.4,
  "raw_formation_energy_ev_per_atom": -0.35,
  "magnetic_moment_mub_per_fu": 4.37,
  "lattice_angstrom": [[2.003, -11.711, 0.000], [2.003, 11.711, 0.000], [0.000, 0.000, 6.054]],
  "species": ["Er", "Er", "Er", "Er", "Fe", "Fe", "Fe", "Fe", "Fe", "Fe", "Fe", "Fe", "Fe", "Fe", "Si", "Si", "Si", "Si", "Si", "Si"],
  "fractional_positions": [[0.014, 0.986, 0.500], [0.322, 0.678, 0.521], [0.678, 0.322, 0.021], [0.986, 0.014, 0.000], [0.108, 0.892, 0.825], [0.205, 0.795, 0.714], [0.211, 0.789, 0.324], [0.371, 0.629, 0.016], [0.438, 0.562, 0.688], [0.562, 0.438, 0.188], [0.629, 0.371, 0.516], [0.789, 0.211, 0.824], [0.795, 0.205, 0.214], [0.892, 0.108, 0.325], [0.114, 0.886, 0.254], [0.271, 0.729, 0.016], [0.444, 0.556, 0.295], [0.556, 0.444, 0.795], [0.729, 0.271, 0.516], [0.886, 0.114, 0.754]]
}

***

[6]
{
  "formula": "Er3Fe2Si4",
  "functional": "PBE-GGA",
  "state": "optimized geometry",
  "total_energy_ev_per_cell": -58.7,
  "raw_formation_energy_ev_per_atom": -0.71,
  "magnetic_moment_mub_per_fu": 0.00,
  "lattice_angstrom": [[5.174, -2.032, 0.000], [5.174, 2.032, 0.000], [-2.330, 0.000, 7.438]],
  "species": ["Er", "Er", "Er", "Fe", "Fe", "Si", "Si", "Si", "Si"],
  "fractional_positions": [[0.000, 0.000, 0.000], [0.382, 0.382, 0.307], [0.618, 0.618, 0.693], [0.314, 0.314, 0.639], [0.686, 0.686, 0.361], [0.106, 0.106, 0.408], [0.281, 0.281, 0.918], [0.719, 0.719, 0.082], [0.894, 0.894, 0.592]]
}